Model i:
This record from the Alexandria database describes a relaxed structure of Y3Er2Th. The functional is PBE.

The calculation puts the density of states at the Fermi level at 1.45 states/eV/atom.

The space group is C2/c (No. 15) and the conventional cell measures 8.9251, 9.8772 and 8.9207 Å, with angles of 90.00, 102.74 and 90.00 degrees. The inequivalent atoms are Y at (0.0000, 0.0640, 0.2500), Y at (0.2300, 0.4175, 0.9847), Er at (0.1259, 0.2490, 0.6198) and Th at (0.0000, 0.3859, 0.2500).



Model ii:
This record from the Alexandria database describes a relaxed structure of Y3Er2Th. The functional is PBE.

The calculation puts the density of states at the Fermi level at 1.62 states/eV/atom.

The space group is C2/m (No. 12) and the conventional cell measures 15.0716, 5.0347 and 11.2570 Å, with angles of 90.00, 116.44 and 90.00 degrees. The inequivalent atoms are Y at (0.0408, 0.0000, 0.3725), Y at (0.2063, 0.5000, 0.3730), Y at (0.2080, 0.0000, 0.8752), Er at (0.1220, 0.0000, 0.1223), Er at (0.1237, 0.5000, 0.6250) and Th at (0.0399, 0.5000, 0.8757).



model ii is the most stable structure; the next one sits 55 meV per atom above it.



Model i:
This record from the Alexandria database describes a relaxed structure of Y3Er3Th2. The functional is PBE.

The calculation puts the density of states at the Fermi level at 1.16 states/eV/atom.

The space group is Immm (No. 71) and the conventional cell measures 5.0221, 5.0239 and 20.1824 Å, with angles of 90.00, 90.00 and 90.00 degrees. The inequivalent atoms are Y at (0.0000, 0.0000, 0.0000), Y at (0.0000, 0.5000, 0.1270), Er at (0.0000, 0.0000, 0.5000), Er at (0.0000, 0.5000, 0.3726) and Th at (0.0000, 0.0000, 0.2499).



Model ii:
This record from the Alexandria database describes a relaxed structure of Y3Er3Th2. The functional is PBE.

The calculation puts the density of states at the Fermi level at 2.01 states/eV/atom.

The space group is R32 (No. 155, hexagonal axes) and the conventional cell measures 8.9501, 8.9501 and 10.9719 Å, with angles of 90.00, 90.00 and 120.00 degrees. The inequivalent atoms are Y at (0.0000, 0.2506, 0.0000), Er at (0.0000, 0.7507, 0.5000) and Th at (0.0000, 0.0000, 0.2536).



model i is the most stable structure; the next one sits 178 meV per atom above it.